Compound: BaSrMg2Tl2
Source: Alexandria via LeMat-Bulk
Functional: GGA-PBE
Structure: relaxed

Cell: 5.232 5.232 8.446 Å, 90.00 90.00 120.00°
Fractional positions:
Mg: 0.333 0.667 0.707
Tl: 0.667 0.333 0.717
Sr: 0.000 0.000 0.500
Mg: 0.667 0.333 0.293
Tl: 0.333 0.667 0.283
Ba: 0.000 0.000 0.000

Summary:
For the formation energy, the calculation gives -0.28 eV/atom. As for the space group: No. 164.